An optimized crystal structure of Sb3Te. Source: Alexandria, functional PBE.

```
8
Lattice="4.456 0.000 0.000 0.000 6.368 0.000 0.000 0.000 8.574" Properties=species:S:1:pos:R:3 pbc="T T T"
Sb 2.228 0.000 3.096
Sb 0.000 3.184 5.478
Sb 0.000 4.686 0.984
Sb 0.000 1.682 0.984
Sb 2.228 1.502 7.590
Sb 2.228 4.865 7.590
Te 0.000 0.000 5.118
Te 2.228 3.184 3.456
```

Output
E_tot, eV/cell: -30.594
ΔE_f (raw), eV per atom: 0.05
Energy relative to the lowest polymorph listed for this composition, meV/atom: 39
Theoretical density, g cm⁻³: 6.73